Entry 1:
Here is a relaxed K2LaTc crystal from Alexandria. Energies are from PBE.

a b c (Å): 5.9240 13.6364 3.7801
angles (deg): 90.00 123.52 90.00
Last column: nearest neighbours and their distance in Å.
Space group C2/m (No. 12)
Asymmetric unit:
K 0.2500 0.2500 0.0000  4 K 2.96-3.27
La 0.0000 0.0000 0.5000  4 Tc 2.96-3.27
Tc 0.0000 0.5000 0.5000  4 La 2.96-3.27


Entry 2:
Here is a relaxed KLa2Tc crystal from Alexandria. Energies are from PBE.

a b c (Å): 4.2285 4.2285 31.1693
angles (deg): 90.00 90.00 120.00
Last column: nearest neighbours and their distance in Å.
Space group R-3m (No. 166, hexagonal axes)
Asymmetric unit:
K 0.0000 0.0000 0.0000  6 K 4.23, 6 La 4.44
La 0.0000 0.0000 0.2143  3 Tc 2.86
Tc 0.0000 0.0000 0.5000  6 La 2.86


Number 1: E -3.4087 eV per atom, energy of formation from the pure elements 0.9634 eV/atom, E above lowest polymorph 448 meV/atom. Number 2: E -5.1260 eV per atom, energy of formation from the pure elements 0.2036 eV/atom, E above lowest polymorph 70 meV/atom.